1.
Density functional theory data (PBE) for a geometry-optimized RbTeOsN2 structure.

The value obtained for the raw formation energy is 3.20 eV/atom. As for the volume: 136.9 Å³ per cell. The total magnetization comes out at 1.369 μB/atom. Its energy above the lowest structure with this stoichiometry is 2262 meV/atom. The symmetry is P4/mmm. For the calculated density, the calculation gives 5.23 g/cm³.

a = 4.3900 Å, b = 4.3900 Å, c = 7.1049 Å
α = 90.00°, β = 90.00°, γ = 90.00°
Fractional coordinates of all 5 atoms:
Rb  0.0000  0.0000  0.0000
Te  0.0000  0.0000  0.5000
Os  0.5000  0.5000  0.5000
N  0.0000  0.5000  0.0000
N  0.5000  0.0000  0.0000


2.
Density functional theory data (PBE) for a geometry-optimized Rb4U3OsN8 structure.

The value obtained for the raw formation energy is -0.60 eV/atom. As for the volume: 271.4 Å³ per cell. The total magnetization comes out at 0.000 μB/atom. The symmetry is R-3m. For the calculated density, the calculation gives 8.31 g/cm³.

a = 7.7622 Å, b = 7.7622 Å, c = 7.7622 Å
α = 52.37°, β = 52.37°, γ = 52.37°
Fractional coordinates of all 16 atoms:
Rb  0.0000  0.0000  0.0000
Rb  0.0000  0.5000  0.5000
Rb  0.5000  0.0000  0.5000
Rb  0.5000  0.5000  0.0000
U  0.0000  0.0000  0.5000
U  0.0000  0.5000  0.0000
U  0.5000  0.0000  0.0000
Os  0.5000  0.5000  0.5000
N  0.2090  0.7235  0.7235
N  0.2187  0.2187  0.2187
N  0.2765  0.2765  0.7910
N  0.2765  0.7910  0.2765
N  0.7235  0.2090  0.7235
N  0.7235  0.7235  0.2090
N  0.7813  0.7813  0.7813
N  0.7910  0.2765  0.2765


3.
Density functional theory data (PBE) for a geometry-optimized RbVOsN2 structure.

The value obtained for the raw formation energy is 3.77 eV/atom. As for the volume: 90.1 Å³ per cell. The total magnetization comes out at 0.562 μB/atom. The symmetry is P4/mmm. For the calculated density, the calculation gives 6.54 g/cm³.

a = 4.0958 Å, b = 4.0958 Å, c = 5.3720 Å
α = 90.00°, β = 90.00°, γ = 90.00°
Fractional coordinates of all 5 atoms:
Rb  0.0000  0.0000  0.0000
V  0.5000  0.5000  0.5000
Os  0.0000  0.0000  0.5000
N  0.0000  0.5000  0.0000
N  0.5000  0.0000  0.0000


4.
Density functional theory data (PBE) for a geometry-optimized Rb2YOsN structure.

The value obtained for the raw formation energy is 1.47 eV/atom. As for the volume: 224.0 Å³ per cell. The total magnetization comes out at 0.607 μB/atom. The symmetry is P4/mmm. For the calculated density, the calculation gives 3.44 g/cm³.

a = 7.3275 Å, b = 7.3275 Å, c = 4.1711 Å
α = 90.00°, β = 90.00°, γ = 90.00°
Fractional coordinates of all 5 atoms:
Rb  0.0000  0.5000  0.0000
Rb  0.5000  0.0000  0.0000
Y  0.0000  0.0000  0.0000
Os  0.5000  0.5000  0.5000
N  0.0000  0.0000  0.5000


5.
Density functional theory data (PBE) for a geometry-optimized ReOsN2 structure.

The value obtained for the raw formation energy is 0.57 eV/atom. As for the volume: 97.4 Å³ per cell. The total magnetization comes out at 0.000 μB/atom. Its energy above the lowest structure with this stoichiometry is 243 meV/atom. The symmetry is I-42d. For the calculated density, the calculation gives 13.79 g/cm³.

a = 5.4390 Å, b = 5.4390 Å, c = 5.4390 Å
α = 127.86°, β = 127.86°, γ = 76.86°
Fractional coordinates of all 8 atoms:
Re  0.0000  0.0000  0.0000
Re  0.7500  0.2500  0.5000
Os  0.2500  0.7500  0.5000
Os  0.5000  0.5000  0.0000
N  0.1222  0.6250  0.9972
N  0.3750  0.3722  0.4972
N  0.6278  0.1250  0.0028
N  0.8750  0.8778  0.5028


6.
Density functional theory data (PBE) for a geometry-optimized ReOs2N structure.

The value obtained for the raw formation energy is 0.75 eV/atom. As for the volume: 128.5 Å³ per cell. The total magnetization comes out at 0.000 μB/atom. The symmetry is I-42d. For the calculated density, the calculation gives 15.01 g/cm³.

a = 6.1739 Å, b = 6.1739 Å, c = 6.1739 Å
α = 131.71°, β = 131.71°, γ = 70.69°
Fractional coordinates of all 8 atoms:
Re  0.0000  0.0000  0.0000
Re  0.7500  0.2500  0.5000
Os  0.2021  0.6250  0.0771
Os  0.3750  0.4521  0.5771
Os  0.5479  0.1250  0.9229
Os  0.8750  0.7979  0.4229
N  0.2500  0.7500  0.5000
N  0.5000  0.5000  0.0000


7.
Density functional theory data (PBE) for a geometry-optimized ReOsN2 structure.

The value obtained for the raw formation energy is 0.33 eV/atom. As for the volume: 44.4 Å³ per cell. The total magnetization comes out at 0.000 μB/atom. Its energy above the lowest structure with this stoichiometry is 0 meV/atom. The symmetry is R-3m. For the calculated density, the calculation gives 15.12 g/cm³.

a = 6.8456 Å, b = 6.8456 Å, c = 6.8456 Å
α = 23.40°, β = 23.40°, γ = 23.40°
Fractional coordinates of all 4 atoms:
Re  0.0000  0.0000  0.0000
Os  0.5000  0.5000  0.5000
N  0.4014  0.4014  0.4014
N  0.5986  0.5986  0.5986


8.
Density functional theory data (PBE) for a geometry-optimized ReOsN2 structure.

The value obtained for the raw formation energy is 1.39 eV/atom. As for the volume: 40.1 Å³ per cell. The total magnetization comes out at 0.000 μB/atom. Its energy above the lowest structure with this stoichiometry is 1062 meV/atom. The symmetry is Fm-3m. For the calculated density, the calculation gives 16.74 g/cm³.

a = 3.8425 Å, b = 3.8425 Å, c = 3.8425 Å
α = 60.00°, β = 60.00°, γ = 60.00°
Fractional coordinates of all 4 atoms:
Re  0.0000  0.0000  0.0000
Os  0.5000  0.5000  0.5000
N  0.2500  0.2500  0.2500
N  0.7500  0.7500  0.7500


Copy entry 7 word for word.
Density functional theory data (PBE) for a geometry-optimized ReOsN2 structure.

The value obtained for the raw formation energy is 0.33 eV/atom. As for the volume: 44.4 Å³ per cell. The total magnetization comes out at 0.000 μB/atom. Its energy above the lowest structure with this stoichiometry is 0 meV/atom. The symmetry is R-3m. For the calculated density, the calculation gives 15.12 g/cm³.

a = 6.8456 Å, b = 6.8456 Å, c = 6.8456 Å
α = 23.40°, β = 23.40°, γ = 23.40°
Fractional coordinates of all 4 atoms:
Re  0.0000  0.0000  0.0000
Os  0.5000  0.5000  0.5000
N  0.4014  0.4014  0.4014
N  0.5986  0.5986  0.5986


Q: What is the formula in the second record?
A: Rb4U3OsN8


Q: The lowest calculated density belongs to which entry?
A: Rb2YOsN


Q: Which of these has the lowest raw formation energy?
A: Rb4U3OsN8